(1)
The following is a DFT calculation (PBE-GGA) of an optimized crystal structure of BaGaPt2.

Geometry as POSCAR:
```
BaGaPt2
1.0
4.4146 0.0000 0.0000
0.0000 7.0719 0.0000
0.0000 0.0000 6.2382
Ba Ga Pt
2 2 4
Direct
0.2500 0.2500 0.1332
0.7500 0.7500 0.8668
0.2500 0.7500 0.3823
0.7500 0.2500 0.6177
0.2500 0.0560 0.6237
0.2500 0.4440 0.6237
0.7500 0.5560 0.3763
0.7500 0.9440 0.3763
```

Values from the calculation:
- symmetry = Pmmn, No. 59
- Fermi-level density of states (states/eV per atom) = 0.36
- formation energy (eV/atom) = -0.776
- mass density (g/cm³) = 10.18
- total energy (eV per cell) = -40.272


(2)
The following is a DFT calculation (PBE-GGA) of an optimized crystal structure of Ba2GaPt3.

Geometry as POSCAR:
```
Ba2GaPt3
1.0
4.3633 0.0000 0.0000
0.0000 4.6491 0.0000
0.0000 0.0000 7.9611
Ba Ga Pt
2 1 3
Direct
0.0000 0.0000 0.0000
0.5000 0.0000 0.4638
0.0000 0.5000 0.6495
0.0000 0.5000 0.3399
0.5000 0.5000 0.1389
0.5000 0.5000 0.8077
```

Values from the calculation:
- symmetry = Pmm2, No. 25
- polymorph energy (0 for the lowest one) (meV per atom) = 0
- Fermi-level density of states (states/eV per atom) = 0.43
- formation energy (eV/atom) = -0.746
- mass density (g/cm³) = 9.56
- total energy (eV per cell) = -29.470


(3)
The following is a DFT calculation (PBE-GGA) of an optimized crystal structure of BaGa6Pt4.

Geometry as POSCAR:
```
BaGa6Pt4
1.0
7.4492 0.0000 0.0000
-3.7246 6.4512 0.0000
0.0000 0.0000 4.2034
Ba Ga Pt
1 6 4
Direct
0.0000 0.0000 0.0000
0.2002 0.4005 0.5000
0.2002 0.7998 0.5000
0.5348 0.0695 0.0000
0.5348 0.4652 0.0000
0.5995 0.7998 0.5000
0.9305 0.4652 0.0000
0.3333 0.6667 0.0000
0.4120 0.2060 0.5000
0.7940 0.2060 0.5000
0.7940 0.5880 0.5000
```

Values from the calculation:
- symmetry = P-6m2, No. 187
- Fermi-level density of states (states/eV per atom) = 0.24
- formation energy (eV/atom) = -0.699
- mass density (g/cm³) = 10.98
- total energy (eV per cell) = -51.933


(4)
The following is a DFT calculation (PBE-GGA) of an optimized crystal structure of Ba3GaPt.

Geometry as POSCAR:
```
Ba3GaPt
1.0
4.6038 0.0000 0.0000
-0.0415 9.0007 0.0000
-2.1118 -1.3008 10.6194
Ba Ga Pt
6 2 2
Direct
0.0958 0.3598 0.1627
0.2475 0.6806 0.4926
0.3842 0.1214 0.7845
0.6158 0.8786 0.2155
0.7525 0.3194 0.5074
0.9042 0.6402 0.8373
0.2207 0.0345 0.4385
0.7793 0.9655 0.5615
0.3410 0.4518 0.7014
0.6590 0.5482 0.2986
```

Values from the calculation:
- symmetry = P-1, No. 2
- polymorph energy (0 for the lowest one) (meV per atom) = 0
- Fermi-level density of states (states/eV per atom) = 0.68
- formation energy (eV/atom) = -0.447
- mass density (g/cm³) = 5.11
- total energy (eV per cell) = -34.142


(5)
The following is a DFT calculation (PBE-GGA) of an optimized crystal structure of Ba8GaPt2.

Geometry as POSCAR:
```
Ba8GaPt2
1.0
10.3174 0.0000 0.0000
-5.1587 8.9351 0.0000
0.0000 0.0000 6.5818
Ba Ga Pt
8 1 2
Direct
0.1638 0.3294 0.2497
0.1656 0.8362 0.2497
0.3294 0.1656 0.7503
0.3333 0.6667 0.7531
0.6667 0.3333 0.2469
0.6706 0.8344 0.2497
0.8344 0.1638 0.7503
0.8362 0.6706 0.7503
0.0000 0.0000 0.5000
0.3333 0.6667 0.2577
0.6667 0.3333 0.7423
```

Values from the calculation:
- symmetry = P-3, No. 147
- Fermi-level density of states (states/eV per atom) = 1.14
- formation energy (eV/atom) = -0.219
- mass density (g/cm³) = 4.26
- total energy (eV per cell) = -32.901


(6)
The following is a DFT calculation (PBE-GGA) of an optimized crystal structure of BaGaPt2.

Geometry as POSCAR:
```
BaGaPt2
1.0
6.2918 0.0000 0.0000
0.0000 10.9226 0.0000
-3.0606 0.0000 5.4062
Ba Ga Pt
4 4 8
Direct
0.0000 0.1361 0.2500
0.0000 0.8639 0.7500
0.5000 0.3639 0.7500
0.5000 0.6361 0.2500
0.0000 0.4918 0.2500
0.0000 0.5082 0.7500
0.5000 0.0082 0.7500
0.5000 0.9918 0.2500
0.2451 0.3609 0.1070
0.2451 0.6391 0.6070
0.2549 0.1391 0.8930
0.2549 0.8609 0.3930
0.7451 0.1391 0.6070
0.7451 0.8609 0.1070
0.7549 0.3609 0.3930
0.7549 0.6391 0.8930
```

Values from the calculation:
- symmetry = C2/c, No. 15
- Fermi-level density of states (states/eV per atom) = 0.37
- formation energy (eV/atom) = -0.685
- mass density (g/cm³) = 10.68
- total energy (eV per cell) = -79.091


(7)
The following is a DFT calculation (PBE-GGA) of an optimized crystal structure of BaGaPt4.

Geometry as POSCAR:
```
BaGaPt4
1.0
0.0000 3.9081 3.9081
3.9081 0.0000 3.9081
3.9081 3.9081 0.0000
Ba Ga Pt
1 1 4
Direct
0.0000 0.0000 0.0000
0.7500 0.7500 0.7500
0.3760 0.3760 0.3760
0.3760 0.3760 0.8721
0.3760 0.8721 0.3760
0.8721 0.3760 0.3760
```

Values from the calculation:
- symmetry = F-43m, No. 216
- Fermi-level density of states (states/eV per atom) = 0.52
- formation energy (eV/atom) = -0.466
- mass density (g/cm³) = 13.73
- total energy (eV per cell) = -31.907


(8)
The following is a DFT calculation (PBE-GGA) of an optimized crystal structure of Ba3Ga2Pt4.

Geometry as POSCAR:
```
Ba3Ga2Pt4
1.0
6.0989 -2.2479 0.0000
6.0989 2.2479 0.0000
-3.2680 0.0000 8.6758
Ba Ga Pt
3 2 4
Direct
0.0000 0.0000 0.0000
0.3814 0.3814 0.3116
0.6186 0.6186 0.6884
0.3343 0.3343 0.6933
0.6657 0.6657 0.3067
0.1602 0.1602 0.4245
0.2761 0.2761 0.9280
0.7239 0.7239 0.0720
0.8398 0.8398 0.5755
```

Values from the calculation:
- symmetry = C2/m, No. 12
- Fermi-level density of states (states/eV per atom) = 0.52
- formation energy (eV/atom) = -0.766
- mass density (g/cm³) = 9.30
- total energy (eV per cell) = -42.879


(9)
The following is a DFT calculation (PBE-GGA) of an optimized crystal structure of Ba2Ga2Pt.

Geometry as POSCAR:
```
Ba2Ga2Pt
1.0
4.6865 0.0000 0.0000
0.0000 4.2775 0.0000
0.0000 0.0000 15.1703
Ba Ga Pt
4 4 2
Direct
0.0000 0.0000 0.0000
0.0000 0.0000 0.2460
0.0000 0.5000 0.5000
0.0000 0.5000 0.7460
0.5000 0.0000 0.4095
0.5000 0.0000 0.6393
0.5000 0.5000 0.1393
0.5000 0.5000 0.9095
0.5000 0.0000 0.8199
0.5000 0.5000 0.3199
```

Values from the calculation:
- symmetry = Amm2, No. 38
- polymorph energy (0 for the lowest one) (meV per atom) = 0
- Fermi-level density of states (states/eV per atom) = 0.78
- formation energy (eV/atom) = -0.524
- mass density (g/cm³) = 6.65
- total energy (eV per cell) = -37.121


(10)
The following is a DFT calculation (PBE-GGA) of an optimized crystal structure of Ba2GaPt.

Geometry as POSCAR:
```
Ba2GaPt
1.0
6.3804 0.0000 0.0000
0.0000 4.5654 0.0000
-2.4011 0.0000 9.1398
Ba Ga Pt
4 2 2
Direct
0.2125 0.2500 0.4321
0.2765 0.7500 0.0742
0.7235 0.2500 0.9258
0.7875 0.7500 0.5679
0.3254 0.7500 0.7268
0.6746 0.2500 0.2732
0.1767 0.2500 0.7800
0.8233 0.7500 0.2200
```

Values from the calculation:
- symmetry = P2_1/m, No. 11
- Fermi-level density of states (states/eV per atom) = 0.83
- formation energy (eV/atom) = -0.606
- mass density (g/cm³) = 6.73
- total energy (eV per cell) = -30.671


(11)
The following is a DFT calculation (PBE-GGA) of an optimized crystal structure of Ba2GaPt3.

Geometry as POSCAR:
```
Ba2GaPt3
1.0
4.3892 0.0000 0.0000
0.0000 5.9722 0.0000
0.0000 0.0000 12.3708
Ba Ga Pt
4 2 6
Direct
0.0000 0.0000 0.1784
0.0000 0.0000 0.8216
0.5000 0.5000 0.3216
0.5000 0.5000 0.6784
0.0000 0.0000 0.5000
0.5000 0.5000 0.0000
0.0000 0.5000 0.1113
0.0000 0.5000 0.5000
0.0000 0.5000 0.8887
0.5000 0.0000 0.0000
0.5000 0.0000 0.3887
0.5000 0.0000 0.6113
```

Values from the calculation:
- symmetry = Immm, No. 71
- polymorph energy (0 for the lowest one) (meV per atom) = 293
- Fermi-level density of states (states/eV per atom) = 0.40
- formation energy (eV/atom) = -0.453
- mass density (g/cm³) = 9.52
- total energy (eV per cell) = -55.428


(12)
The following is a DFT calculation (PBE-GGA) of an optimized crystal structure of Ba6GaPt.

Geometry as POSCAR:
```
Ba6GaPt
1.0
7.6523 4.4181 2.6184
-7.6523 4.4181 2.6184
0.0000 -8.8362 2.6184
Ba Ga Pt
6 1 1
Direct
0.0425 0.3271 0.3271
0.3271 0.0425 0.3271
0.3271 0.3271 0.0425
0.6729 0.6729 0.9575
0.6729 0.9575 0.6729
0.9575 0.6729 0.6729
0.5000 0.5000 0.5000
0.0000 0.0000 0.0000
```

Values from the calculation:
- symmetry = R-3m, No. 166
- Fermi-level density of states (states/eV per atom) = 1.44
- formation energy (eV/atom) = -0.115
- mass density (g/cm³) = 3.40
- total energy (eV per cell) = -21.528